Arrangement i

## Na2NiPt (PBE)

Data for crystalline Na2NiPt at its relaxed geometry.

Output
V in Å³/atom: 17.60
Crystal system: cubic

Unit cell a=6.554 b=6.554 c=6.554 alpha=90.00 beta=90.00 gamma=90.00
Space group Fm-3m (No. 225)
One atom of each set of equivalent atoms:
Na  0.250  0.250  0.250 [8 per cell]
Ni  0.000  0.000  0.000 [4 per cell]
Pt  0.000  0.000  0.500 [4 per cell]

Arrangement ii

## Na2NiPt (PBE)

Data for crystalline Na2NiPt at its relaxed geometry.

Output
V in Å³/atom: 17.71
Crystal system: tetragonal

Unit cell a=7.587 b=7.587 c=4.923 alpha=90.00 beta=90.00 gamma=90.00
Space group I-42d (No. 122)
One atom of each set of equivalent atoms:
Na  0.236  0.250  0.125 [8 per cell]
Ni  0.000  0.000  0.000 [4 per cell]
Pt  0.000  0.000  0.500 [4 per cell]

arrangement ii is preferred energetically. Next in line: 0.6 kJ/mol of atoms higher.